<one>
! PBE ZrScTa2, relaxed; values from VASP
! ρ = 10149 kg/m3
! SG = No. 123
! N(E_F) = 1.466 states/eV/atom
&SYSTEM
  ibrav = 0, nat = 4, ntyp = 3
/
ATOMIC_SPECIES
Ta 180.95 Ta.upf
Sc 44.96 Sc.upf
Zr 91.22 Zr.upf
ATOMIC_POSITIONS crystal
Ta 0.000 0.000 0.999
Ta 0.000 0.000 0.501
Sc 0.500 0.500 0.750
Zr 0.500 0.500 0.250
CELL_PARAMETERS angstrom
-0.861 -2.270 1.574
1.393 -1.781 -1.807
8.024 0.740 5.455



<two>
! PBE ZrScTa2, relaxed; values from VASP
! ρ = 10250 kg/m3
! SG = No. 119
! N(E_F) = 1.736 states/eV/atom
&SYSTEM
  ibrav = 0, nat = 4, ntyp = 3
/
ATOMIC_SPECIES
Sc 44.96 Sc.upf
Ta 180.95 Ta.upf
Zr 91.22 Zr.upf
ATOMIC_POSITIONS crystal
Sc 0.750 0.250 0.500
Ta 0.250 0.750 0.500
Ta 0.000 0.000 0.000
Zr 0.500 0.500 0.000
CELL_PARAMETERS angstrom
-0.609 -1.730 4.503
-1.540 -4.257 -1.772
4.286 1.836 -1.375



The least stable of them is <one>.



<one>
! PBE ZrScTa2, relaxed; values from VASP
! ρ = 9937 kg/m3
! SG = No. 123
! N(E_F) = 1.407 states/eV/atom
&SYSTEM
  ibrav = 0, nat = 4, ntyp = 3
/
ATOMIC_SPECIES
Ta 180.95 Ta.upf
Zr 91.22 Zr.upf
Sc 44.96 Sc.upf
ATOMIC_POSITIONS crystal
Ta 0.000 0.000 0.028
Ta 0.000 0.000 0.472
Zr 0.500 0.500 0.250
Sc 0.500 0.500 0.750
CELL_PARAMETERS angstrom
3.619 0.000 0.000
0.000 3.619 0.000
0.000 0.000 6.356



<two>
! PBE ZrScTa2, relaxed; values from VASP
! ρ = 9873 kg/m3
! SG = No. 99
! N(E_F) = 1.713 states/eV/atom
&SYSTEM
  ibrav = 0, nat = 4, ntyp = 3
/
ATOMIC_SPECIES
Sc 44.96 Sc.upf
Zr 91.22 Zr.upf
Ta 180.95 Ta.upf
ATOMIC_POSITIONS crystal
Sc 0.500 0.500 0.775
Zr 0.000 0.000 0.470
Ta 0.000 0.000 0.030
Ta 0.500 0.500 0.226
CELL_PARAMETERS angstrom
3.426 0.000 0.000
0.000 3.426 0.000
0.000 0.000 7.136



<three>
! PBE ZrScTa2, relaxed; values from VASP
! ρ = 10030 kg/m3
! SG = No. 6
! N(E_F) = 1.013 states/eV/atom
&SYSTEM
  ibrav = 0, nat = 4, ntyp = 3
/
ATOMIC_SPECIES
Zr 91.22 Zr.upf
Ta 180.95 Ta.upf
Sc 44.96 Sc.upf
ATOMIC_POSITIONS crystal
Zr 0.000 0.490 0.475
Ta 0.000 0.084 0.005
Ta 0.500 0.154 0.246
Sc 0.500 0.772 0.773
CELL_PARAMETERS angstrom
-1.019 -1.047 -4.481
2.899 0.304 -0.731
2.513 -5.473 0.707



The least stable of them is <one>.



<one>
! PBE ZrScTa2, relaxed; values from VASP
! ρ = 10115 kg/m3
! SG = No. 12
! N(E_F) = 1.427 states/eV/atom
&SYSTEM
  ibrav = 0, nat = 4, ntyp = 3
/
ATOMIC_SPECIES
Sc 44.96 Sc.upf
Zr 91.22 Zr.upf
Ta 180.95 Ta.upf
ATOMIC_POSITIONS crystal
Sc 0.250 0.250 0.250
Zr 0.750 0.750 0.750
Ta 0.999 0.999 0.004
Ta 0.501 0.501 0.496
CELL_PARAMETERS angstrom
-0.912 -0.749 5.237
1.887 -1.889 4.657
2.183 4.361 1.966



<two>
! PBE ZrScTa2, relaxed; values from VASP
! ρ = 10200 kg/m3
! SG = No. 225
! N(E_F) = 1.956 states/eV/atom
&SYSTEM
  ibrav = 0, nat = 4, ntyp = 3
/
ATOMIC_SPECIES
Ta 180.95 Ta.upf
Sc 44.96 Sc.upf
Zr 91.22 Zr.upf
ATOMIC_POSITIONS crystal
Ta 0.750 0.750 0.750
Ta 0.250 0.250 0.250
Sc 0.000 0.000 0.000
Zr 0.500 0.500 0.500
CELL_PARAMETERS angstrom
0.000 3.435 3.435
3.435 0.000 3.435
3.435 3.435 0.000



<three>
! PBE ZrScTa2, relaxed; values from VASP
! ρ = 10232 kg/m3
! SG = No. 65
! N(E_F) = 1.483 states/eV/atom
&SYSTEM
  ibrav = 0, nat = 4, ntyp = 3
/
ATOMIC_SPECIES
Ta 180.95 Ta.upf
Zr 91.22 Zr.upf
Sc 44.96 Sc.upf
ATOMIC_POSITIONS crystal
Ta 0.000 0.000 0.497
Ta 0.000 0.000 0.003
Zr 0.500 0.500 0.250
Sc 0.500 0.500 0.750
CELL_PARAMETERS angstrom
-2.724 0.371 1.013
-0.014 -2.282 -1.838
1.979 -6.096 7.554



<four>
! PBE ZrScTa2, relaxed; values from VASP
! ρ = 10074 kg/m3
! SG = No. 8
! N(E_F) = 1.322 states/eV/atom
&SYSTEM
  ibrav = 0, nat = 4, ntyp = 3
/
ATOMIC_SPECIES
Sc 44.96 Sc.upf
Ta 180.95 Ta.upf
Zr 91.22 Zr.upf
ATOMIC_POSITIONS crystal
Sc 0.256 0.256 0.238
Ta 0.747 0.747 0.763
Ta 0.005 0.005 0.988
Zr 0.492 0.492 0.511
CELL_PARAMETERS angstrom
5.165 0.003 -0.031
4.338 2.804 -0.031
0.470 0.139 5.672



The least stable of them is <two>.



<one>
! PBE ZrScTa2, relaxed; values from VASP
! ρ = 9969 kg/m3
! SG = No. 160
! N(E_F) = 1.215 states/eV/atom
&SYSTEM
  ibrav = 0, nat = 4, ntyp = 3
/
ATOMIC_SPECIES
Ta 180.95 Ta.upf
Sc 44.96 Sc.upf
Zr 91.22 Zr.upf
ATOMIC_POSITIONS crystal
Ta 0.253 0.253 0.253
Ta 0.998 0.998 0.998
Sc 0.745 0.745 0.745
Zr 0.504 0.504 0.504
CELL_PARAMETERS angstrom
10.330 -0.038 -0.022
9.886 2.998 -0.022
9.886 1.448 2.625



<two>
! PBE ZrScTa2, relaxed; values from VASP
! ρ = 10000 kg/m3
! SG = No. 44
! N(E_F) = 1.289 states/eV/atom
&SYSTEM
  ibrav = 0, nat = 4, ntyp = 3
/
ATOMIC_SPECIES
Sc 44.96 Sc.upf
Zr 91.22 Zr.upf
Ta 180.95 Ta.upf
ATOMIC_POSITIONS crystal
Sc 0.241 0.741 0.500
Zr 0.511 0.511 0.000
Ta 0.770 0.270 0.500
Ta 0.979 0.979 0.000
CELL_PARAMETERS angstrom
-3.060 3.946 2.693
-1.202 -1.126 5.429
4.212 0.762 -3.723



<three>
! PBE ZrScTa2, relaxed; values from VASP
! ρ = 10274 kg/m3
! SG = No. 47
! N(E_F) = 1.463 states/eV/atom
&SYSTEM
  ibrav = 0, nat = 4, ntyp = 3
/
ATOMIC_SPECIES
Ta 180.95 Ta.upf
Sc 44.96 Sc.upf
Zr 91.22 Zr.upf
ATOMIC_POSITIONS crystal
Ta 0.500 0.500 0.000
Ta 0.000 0.000 0.000
Sc 0.000 0.500 0.500
Zr 0.500 0.000 0.500
CELL_PARAMETERS angstrom
-0.791 -3.312 -0.456
3.548 -0.415 -3.141
3.079 -1.236 3.641



<four>
! PBE ZrScTa2, relaxed; values from VASP
! ρ = 9953 kg/m3
! SG = No. 99
! N(E_F) = 1.245 states/eV/atom
&SYSTEM
  ibrav = 0, nat = 4, ntyp = 3
/
ATOMIC_SPECIES
Sc 44.96 Sc.upf
Ta 180.95 Ta.upf
Zr 91.22 Zr.upf
ATOMIC_POSITIONS crystal
Sc 0.500 0.500 0.774
Ta 0.000 0.000 0.006
Ta 0.500 0.500 0.242
Zr 0.000 0.000 0.478
CELL_PARAMETERS angstrom
2.922 0.000 0.000
0.000 2.922 0.000
0.000 0.000 9.734



The least stable of them is <one>.